(1)
The following is a DFT calculation (GGA-PBE) of a geometry-optimized LaRuClO4 structure.

Output
The calculation puts the total energy at -6.869 eV per atom. The space group is C2/m, No. 12. Its density of states at the Fermi level is 0.83 states/eV per cell.

```
LaRuClO4
1.0
-4.173 -4.765 1.576
1.182 -5.245 -3.702
3.926 -4.035 4.349
La Ru Cl O
2 2 2 8
direct
0.221 0.221 0.887
0.779 0.779 0.113
0.636 0.636 0.725
0.364 0.364 0.275
0.014 0.014 0.235
0.986 0.986 0.765
0.284 0.284 0.524
0.716 0.716 0.476
0.131 0.483 0.139
0.533 0.533 0.232
0.517 0.869 0.861
0.483 0.131 0.139
0.467 0.467 0.768
0.869 0.517 0.861
```


(2)
The following is a DFT calculation (GGA-PBE) of a geometry-optimized La4RuCl2O structure.

Output
The calculation puts the total energy at -6.269 eV per atom. The space group is P2/m, No. 10. Its density of states at the Fermi level is 6.22 states/eV per cell.

```
La4RuCl2O
1.0
-3.208 2.195 -0.422
-3.877 -5.566 0.517
0.980 2.830 7.278
La Ru Cl O
4 1 2 1
direct
0.500 0.216 0.196
0.500 0.784 0.804
0.000 0.242 0.796
0.000 0.758 0.204
0.500 0.500 0.000
0.500 0.000 0.500
0.000 0.500 0.500
0.000 0.000 0.000
```


(3)
The following is a DFT calculation (GGA-PBE) of a geometry-optimized La4S4Cl2O structure.

Output
The calculation puts the total energy at -6.559 eV per atom. The space group is Cmc2_1, No. 36. Its density of states at the Fermi level is 0.00 states/eV per cell.

```
La4S4Cl2O
1.0
-4.051 -3.863 7.571
9.093 2.442 0.090
-1.745 6.413 2.339
La S Cl O
8 8 4 2
direct
0.681 0.319 0.787
0.319 0.681 0.287
0.806 0.194 0.238
0.392 0.191 0.257
0.809 0.608 0.257
0.194 0.806 0.738
0.608 0.809 0.757
0.191 0.392 0.757
0.540 0.460 0.535
0.946 0.468 0.521
0.532 0.054 0.521
0.460 0.540 0.035
0.054 0.532 0.021
0.468 0.946 0.021
0.866 0.134 0.860
0.134 0.866 0.360
0.266 0.135 0.861
0.865 0.734 0.861
0.734 0.865 0.361
0.135 0.266 0.361
0.668 0.332 0.134
0.332 0.668 0.634
```


(4)
The following is a DFT calculation (GGA-PBE) of a geometry-optimized LaS2ClO structure.

Output
The energy above the most stable polymorph in this dataset is 0.0000 eV/atom. The calculation puts the total energy at -4.820 eV per atom. The space group is P4/mmm, No. 123. Its density of states at the Fermi level is 2.12 states/eV per cell.

```
LaS2ClO
1.0
-3.504 -1.886 1.194
1.589 -3.668 -1.130
1.990 -0.631 4.845
S Cl O La
2 1 1 1
direct
0.000 0.500 0.000
0.500 0.000 0.000
0.000 0.000 0.500
0.000 0.000 0.000
0.500 0.500 0.500
```


(5)
The following is a DFT calculation (GGA-PBE) of a geometry-optimized La2SCl2O structure.

Output
The calculation puts the total energy at -6.441 eV per atom. The space group is Pmc2_1, No. 26. Its density of states at the Fermi level is 0.00 states/eV per cell.

```
La2SCl2O
1.0
4.108 0.000 0.000
0.000 7.797 0.000
0.000 0.000 8.345
La S Cl O
4 2 4 2
direct
0.000 0.236 0.816
0.500 0.252 0.415
0.000 0.736 0.184
0.500 0.752 0.585
0.000 0.983 0.447
0.000 0.483 0.553
0.500 0.031 0.094
0.000 0.355 0.173
0.500 0.531 0.906
0.000 0.855 0.827
0.500 0.190 0.689
0.500 0.690 0.311
```


(6)
The following is a DFT calculation (GGA-PBE) of a geometry-optimized LaS2ClO structure.

Output
The energy above the most stable polymorph in this dataset is 0.6944 eV/atom. The calculation puts the total energy at -4.126 eV per atom. The space group is P4/mmm, No. 123. Its density of states at the Fermi level is 7.38 states/eV per cell.

```
LaS2ClO
1.0
-3.267 4.405 1.643
-3.875 -1.390 -3.978
-2.561 -3.255 3.633
S Cl O La
2 1 1 1
direct
0.000 0.500 0.000
0.500 0.000 0.000
0.000 0.000 0.500
0.500 0.500 0.500
0.000 0.000 0.000
```


(7)
The following is a DFT calculation (GGA-PBE) of a geometry-optimized La5Ti6S3Cl3O15 structure.

Output
The calculation puts the total energy at -8.055 eV per atom. The space group is C2/m, No. 12. Its density of states at the Fermi level is 0.00 states/eV per cell.

```
La5Ti6S3Cl3O15
1.0
10.858 -0.034 -0.010
-3.623 10.236 0.010
-3.555 -5.145 8.870
La Ti S Cl O
10 12 6 6 30
direct
0.006 0.668 0.675
0.994 0.332 0.325
0.337 0.337 0.000
0.663 0.663 0.000
0.650 0.020 0.670
0.350 0.980 0.330
0.500 0.500 0.500
0.000 0.500 0.000
0.500 0.000 0.000
0.000 0.000 0.500
0.669 0.365 0.305
0.941 0.637 0.305
0.331 0.635 0.695
0.059 0.363 0.695
0.649 0.304 0.953
0.368 0.306 0.674
0.351 0.696 0.047
0.632 0.694 0.326
0.695 0.345 0.643
0.702 0.051 0.357
0.305 0.655 0.357
0.298 0.949 0.643
0.798 0.611 0.816
0.202 0.389 0.184
0.205 0.018 0.816
0.795 0.982 0.184
0.812 0.206 0.018
0.188 0.794 0.982
0.384 0.180 0.210
0.616 0.820 0.790
0.971 0.174 0.790
0.029 0.826 0.210
0.819 0.792 0.612
0.181 0.208 0.388
0.699 0.425 0.499
0.075 0.578 0.278
0.300 0.797 0.722
0.926 0.201 0.501
0.568 0.278 0.077
0.428 0.504 0.706
0.201 0.491 0.923
0.798 0.723 0.294
0.718 0.294 0.796
0.498 0.922 0.204
0.507 0.705 0.428
0.276 0.078 0.572
0.301 0.575 0.501
0.925 0.422 0.722
0.700 0.203 0.278
0.074 0.799 0.499
0.432 0.722 0.923
0.572 0.496 0.294
0.799 0.509 0.077
0.202 0.277 0.706
0.282 0.706 0.204
0.502 0.078 0.796
0.493 0.295 0.572
0.724 0.922 0.428
0.874 0.500 0.374
0.126 0.500 0.626
0.501 0.372 0.873
0.499 0.628 0.127
0.630 0.130 0.500
0.370 0.870 0.500
```


(8)
The following is a DFT calculation (GGA-PBE) of a geometry-optimized La2SbClO structure.

Output
The calculation puts the total energy at -4.408 eV per atom. The space group is P4/mmm, No. 123. Its density of states at the Fermi level is 2.96 states/eV per cell.

```
La2SbClO
1.0
5.441 0.000 0.000
0.000 4.928 0.000
0.000 0.000 5.441
Sb Cl O La
1 1 1 2
direct
0.000 0.500 0.000
0.000 0.000 0.000
0.500 0.500 0.500
0.000 0.000 0.500
0.500 0.000 0.000
```


(9)
The following is a DFT calculation (GGA-PBE) of a geometry-optimized LaSeClO4 structure.

Output
The calculation puts the total energy at -6.053 eV per atom. The space group is C2/m, No. 12. Its density of states at the Fermi level is 0.00 states/eV per cell.

```
LaSeClO4
1.0
6.392 -0.063 -0.144
2.058 6.052 -0.144
1.565 1.109 6.688
La Se Cl O
2 2 2 8
direct
0.224 0.224 0.863
0.776 0.776 0.137
0.637 0.637 0.735
0.363 0.363 0.265
0.023 0.023 0.231
0.977 0.977 0.769
0.281 0.281 0.501
0.719 0.719 0.499
0.141 0.487 0.143
0.526 0.526 0.238
0.513 0.859 0.857
0.487 0.141 0.143
0.474 0.474 0.762
0.859 0.513 0.857
```


(10)
The following is a DFT calculation (GGA-PBE) of a geometry-optimized La2SeCl2O structure.

Output
The calculation puts the total energy at -6.290 eV per atom. The space group is Pmc2_1, No. 26. Its density of states at the Fermi level is 0.00 states/eV per cell.

```
La2SeCl2O
1.0
-2.095 -2.246 2.930
6.418 -2.177 2.920
-0.053 7.444 5.667
La Se Cl O
4 2 4 2
direct
0.000 0.236 0.772
0.500 0.319 0.345
0.000 0.736 0.228
0.500 0.819 0.655
0.000 0.023 0.468
0.000 0.523 0.532
0.500 0.004 0.144
0.000 0.353 0.130
0.500 0.504 0.856
0.000 0.853 0.870
0.500 0.111 0.731
0.500 0.611 0.269
```


(11)
The following is a DFT calculation (GGA-PBE) of a geometry-optimized La8Si3Cl4O structure.

Output
The calculation puts the total energy at -5.713 eV per atom. The space group is R-3m, No. 166. Its density of states at the Fermi level is 10.22 states/eV per cell.

```
La8Si3Cl4O
1.0
8.340 0.000 0.000
0.000 8.648 0.213
-4.170 -4.167 5.900
La Si Cl O
8 3 4 1
direct
0.224 0.713 0.988
0.224 0.713 0.449
0.256 0.267 0.511
0.764 0.713 0.988
0.236 0.287 0.012
0.744 0.733 0.489
0.776 0.287 0.551
0.776 0.287 0.012
0.500 0.500 0.000
0.500 0.500 0.500
0.000 0.500 0.500
0.500 0.000 0.000
0.500 0.000 0.500
0.000 0.000 0.000
0.000 0.000 0.500
0.000 0.500 0.000
```


(12)
The following is a DFT calculation (GGA-PBE) of a geometry-optimized La3Si2ClO8 structure.

Output
The calculation puts the total energy at -8.013 eV per atom. The space group is Cc, No. 9. Its density of states at the Fermi level is 0.00 states/eV per cell.

```
La3Si2ClO8
1.0
8.021 0.006 -0.001
5.340 5.986 -0.001
1.150 0.516 8.805
La Si Cl O
6 4 2 16
direct
0.581 0.788 0.328
0.213 0.420 0.169
0.420 0.213 0.669
0.788 0.581 0.828
0.931 0.070 0.249
0.070 0.931 0.749
0.786 0.899 0.025
0.102 0.214 0.472
0.214 0.102 0.972
0.899 0.786 0.525
0.477 0.525 0.247
0.525 0.477 0.747
0.271 0.037 0.152
0.964 0.729 0.345
0.729 0.964 0.845
0.037 0.271 0.652
0.201 0.957 0.466
0.044 0.800 0.031
0.800 0.044 0.531
0.957 0.201 0.966
0.315 0.204 0.418
0.797 0.686 0.079
0.686 0.797 0.579
0.204 0.315 0.918
0.619 0.094 0.144
0.906 0.382 0.353
0.382 0.906 0.853
0.094 0.619 0.644
```


(13)
The following is a DFT calculation (GGA-PBE) of a geometry-optimized La3Si2Cl3O7 structure.

Output
The calculation puts the total energy at -7.409 eV per atom. The space group is P2_1, No. 4. Its density of states at the Fermi level is 0.00 states/eV per cell.

```
La3Si2Cl3O7
1.0
12.275 0.000 0.000
0.000 5.406 -0.003
0.000 2.579 7.549
La Si Cl O
6 4 6 14
direct
0.506 0.973 0.423
0.006 0.027 0.577
0.253 0.557 0.299
0.531 0.707 0.971
0.753 0.443 0.701
0.031 0.293 0.029
0.844 0.787 0.935
0.456 0.387 0.685
0.344 0.213 0.065
0.956 0.613 0.315
0.128 0.846 0.941
0.252 0.011 0.506
0.628 0.154 0.059
0.752 0.989 0.494
0.123 0.458 0.665
0.623 0.542 0.335
0.495 0.094 0.692
0.894 0.445 0.496
0.394 0.555 0.504
0.995 0.906 0.308
0.217 0.276 0.095
0.058 0.417 0.303
0.379 0.905 0.125
0.884 0.621 0.137
0.412 0.349 0.193
0.879 0.095 0.875
0.912 0.651 0.807
0.558 0.583 0.697
0.384 0.379 0.863
0.717 0.724 0.905
```


(14)
The following is a DFT calculation (GGA-PBE) of a geometry-optimized La6Si2Cl3O structure.

Output
The calculation puts the total energy at -5.787 eV per atom. The space group is C2/m, No. 12. Its density of states at the Fermi level is 5.09 states/eV per cell.

```
La6Si2Cl3O
1.0
-0.033 1.126 4.006
-8.443 -0.920 0.190
3.553 -8.816 0.345
La Si Cl O
6 2 3 1
direct
0.360 0.924 0.720
0.671 0.575 0.341
0.640 0.076 0.280
0.999 0.211 0.998
0.001 0.789 0.002
0.329 0.425 0.659
0.839 0.673 0.677
0.161 0.327 0.323
0.500 0.500 0.000
0.820 0.154 0.640
0.180 0.846 0.360
0.500 0.000 0.000
```


(15)
The following is a DFT calculation (GGA-PBE) of a geometry-optimized LaSn2ClO structure.

Output
The calculation puts the total energy at -3.724 eV per atom. The space group is P4/mmm, No. 123. Its density of states at the Fermi level is 5.94 states/eV per cell.

```
LaSn2ClO
1.0
-3.973 -2.959 1.519
2.395 -0.672 4.954
-2.460 4.207 1.760
Cl Sn O La
1 2 1 1
direct
0.000 0.000 0.000
0.000 0.000 0.500
0.500 0.000 0.000
0.500 0.500 0.500
0.000 0.500 0.000
```


(16)
The following is a DFT calculation (GGA-PBE) of a geometry-optimized La3TaCl3O6 structure.

Output
The calculation puts the total energy at -7.683 eV per atom. The space group is P6_3/m, No. 176. Its density of states at the Fermi level is 14.49 states/eV per cell.

```
La3TaCl3O6
1.0
-2.139 -4.344 8.319
3.979 -5.035 -7.175
4.916 1.195 1.888
La Ta Cl O
6 2 6 12
direct
0.596 0.685 0.250
0.089 0.404 0.250
0.315 0.911 0.250
0.404 0.315 0.750
0.911 0.596 0.750
0.685 0.089 0.750
0.333 0.667 0.750
0.667 0.333 0.250
0.950 0.759 0.250
0.810 0.050 0.250
0.241 0.190 0.250
0.050 0.241 0.750
0.190 0.950 0.750
0.759 0.810 0.750
0.635 0.476 0.485
0.841 0.365 0.485
0.524 0.159 0.485
0.365 0.524 0.985
0.159 0.635 0.985
0.476 0.841 0.985
0.365 0.524 0.515
0.159 0.635 0.515
0.476 0.841 0.515
0.635 0.476 0.015
0.841 0.365 0.015
0.524 0.159 0.015
```


(17)
The following is a DFT calculation (GGA-PBE) of a geometry-optimized La2TaClO structure.

Output
The calculation puts the total energy at -6.812 eV per atom. The space group is P4/mmm, No. 123. Its density of states at the Fermi level is 4.94 states/eV per cell.

```
La2TaClO
1.0
5.382 0.000 0.000
0.000 3.964 0.000
0.000 0.000 5.382
Cl La O Ta
1 2 1 1
direct
0.500 0.500 0.500
0.000 0.000 0.500
0.500 0.000 0.000
0.000 0.000 0.000
0.000 0.500 0.000
```